Entry 1:
PBE MnAl3Cu, relaxed; space-group type = Cmce, No. 64; total moment = 7.7 Bohr magnetons per cell; E = -4.971 eV per atom
1.0
4.322 -4.734 0.000
4.322 4.734 0.000
0.000 0.000 7.060
Mn Al Cu
4 12 4
direct
0.217 0.783 0.869
0.283 0.717 0.369
0.717 0.283 0.631
0.783 0.217 0.131
0.043 0.306 0.410
0.048 0.952 0.169
0.194 0.457 0.090
0.306 0.043 0.590
0.452 0.548 0.669
0.457 0.194 0.910
0.543 0.806 0.090
0.548 0.452 0.331
0.694 0.957 0.410
0.806 0.543 0.910
0.952 0.048 0.831
0.957 0.694 0.590
0.111 0.389 0.750
0.389 0.111 0.250
0.611 0.889 0.750
0.889 0.611 0.250

=====

Entry 2:
PBE Mn2AlCu, relaxed; space-group type = R-3m, No. 166; total moment = 3.5 Bohr magnetons per cell; E = -6.411 eV per atom
1.0
1.303 0.752 8.454
-1.303 0.752 8.454
0.000 -1.505 8.454
Mn Al Cu
2 1 1
direct
0.249 0.249 0.249
0.751 0.751 0.751
0.500 0.500 0.500
0.000 0.000 0.000

=====

Entry 3:
PBE Mn2Al3Cu2, relaxed; space-group type = Cmmm, No. 65; total moment = 5.0 Bohr magnetons per cell; E = -5.566 eV per atom
1.0
1.891 -9.178 0.000
1.891 9.178 0.000
0.000 0.000 2.688
Mn Al Cu
2 3 2
direct
0.070 0.930 0.000
0.930 0.070 0.000
0.350 0.650 0.500
0.500 0.500 0.500
0.650 0.350 0.500
0.209 0.791 0.000
0.791 0.209 0.000

=====

Entry 4:
PBE MnAl2Cu, relaxed; space-group type = Cm, No. 8; total moment = 1.7 Bohr magnetons per cell; E = -5.388 eV per atom
1.0
4.615 -1.401 0.000
4.615 1.401 0.000
-1.397 0.000 4.083
Mn Al Cu
1 2 1
direct
0.000 0.000 0.000
0.507 0.507 0.498
0.742 0.742 0.129
0.255 0.255 0.640

=====

Entry 5:
PBE MnAl2Cu, relaxed; space-group type = I-42d, No. 122; total moment = 5.2 Bohr magnetons per cell; E = -4.949 eV per atom
1.0
-3.394 3.394 2.626
3.394 -3.394 2.626
3.394 3.394 -2.626
Mn Al Cu
2 4 2
direct
0.000 0.000 0.000
0.750 0.250 0.500
0.144 0.625 0.019
0.375 0.394 0.519
0.606 0.125 0.981
0.875 0.856 0.481
0.250 0.750 0.500
0.500 0.500 0.000

=====

Entry 6:
PBE Mn2AlCu, relaxed; space-group type = I4/mmm, No. 139; total moment = 5.7 Bohr magnetons per cell; E = -6.593 eV per atom
1.0
-1.888 1.888 3.659
1.888 -1.888 3.659
1.888 1.888 -3.659
Mn Al Cu
2 1 1
direct
0.250 0.750 0.500
0.750 0.250 0.500
0.000 0.000 0.000
0.500 0.500 0.000

=====

Entry 7:
PBE MnAl2Cu, relaxed; space-group type = F-43m, No. 216; total moment = 3.0 Bohr magnetons per cell; E = -5.187 eV per atom
1.0
0.000 3.029 3.029
3.029 0.000 3.029
3.029 3.029 0.000
Mn Al Cu
1 2 1
direct
0.000 0.000 0.000
0.500 0.500 0.500
0.750 0.750 0.750
0.250 0.250 0.250

=====

Entry 8:
PBE Mn2AlCu, relaxed; space-group type = P4mm, No. 99; total moment = 0.2 Bohr magnetons per cell; E = -6.645 eV per atom
1.0
2.815 0.000 0.000
0.000 2.815 0.000
0.000 0.000 6.112
Mn Al Cu
2 1 1
direct
0.000 0.000 0.000
0.500 0.500 0.205
0.000 0.000 0.475
0.500 0.500 0.732

=====

Entry 9:
PBE MnAl2Cu, relaxed; space-group type = Fm-3m, No. 225; total moment = 0.0 Bohr magnetons per cell; E = -5.300 eV per atom
1.0
0.000 2.941 2.941
2.941 0.000 2.941
2.941 2.941 0.000
Mn Al Cu
1 2 1
direct
0.000 0.000 0.000
0.250 0.250 0.250
0.750 0.750 0.750
0.500 0.500 0.500

=====

Entry 10:
PBE Mn2AlCu, relaxed; space-group type = I-42d, No. 122; total moment = 12.7 Bohr magnetons per cell; E = -6.120 eV per atom
1.0
-3.376 3.376 2.568
3.376 -3.376 2.568
3.376 3.376 -2.568
Mn Al Cu
4 2 2
direct
0.109 0.625 0.984
0.375 0.359 0.484
0.641 0.125 0.016
0.875 0.891 0.516
0.250 0.750 0.500
0.500 0.500 0.000
0.000 0.000 0.000
0.750 0.250 0.500

=====

Entry 11:
PBE MnAl2Cu, relaxed; space-group type = P4/mmm, No. 123; total moment = 2.3 Bohr magnetons per cell; E = -5.440 eV per atom
1.0
3.937 0.000 0.000
0.000 3.937 0.000
0.000 0.000 3.419
Mn Al Cu
1 2 1
direct
0.000 0.000 0.000
0.000 0.500 0.500
0.500 0.000 0.500
0.500 0.500 0.000

=====

Entry 12:
PBE MnAl2Cu, relaxed; space-group type = P4/mmm, No. 123; total moment = 2.2 Bohr magnetons per cell; E = -5.430 eV per atom
1.0
2.819 0.000 0.000
0.000 2.819 0.000
0.000 0.000 6.641
Mn Al Cu
1 2 1
direct
0.000 0.000 0.000
0.500 0.500 0.248
0.500 0.500 0.752
0.000 0.000 0.500

=====

Entry 13:
PBE MnAlCuMo2, relaxed; space-group type = P4/mmm, No. 123; total moment = 1.6 Bohr magnetons per cell; E = -6.468 eV per atom
1.0
4.551 0.000 0.000
0.000 4.551 0.000
0.000 0.000 4.364
Mn Al Cu Mo
1 1 1 2
direct
0.000 0.000 0.000
0.500 0.500 0.000
0.000 0.000 0.500
0.000 0.500 0.500
0.500 0.000 0.500

=====

Entry 14:
PBE Na2MnAlCu, relaxed; space-group type = P4/mmm, No. 123; total moment = 4.7 Bohr magnetons per cell; E = -3.073 eV per atom
1.0
5.598 0.000 0.000
0.000 5.598 0.000
0.000 0.000 4.524
Na Mn Al Cu
2 1 1 1
direct
0.000 0.500 0.000
0.500 0.000 0.000
0.000 0.000 0.500
0.500 0.500 0.000
0.500 0.500 0.500

=====

Entry 15:
PBE Mn2Nb2Al5Cu, relaxed; space-group type = P4/mbm, No. 127; total moment = 0.0 Bohr magnetons per cell; E = -6.194 eV per atom
1.0
9.874 0.000 0.000
0.000 9.874 0.000
0.000 0.000 3.083
Mn Nb Al Cu
4 4 10 2
direct
0.134 0.366 0.000
0.366 0.866 0.000
0.634 0.134 0.000
0.866 0.634 0.000
0.201 0.701 0.000
0.299 0.201 0.000
0.701 0.799 0.000
0.799 0.299 0.000
0.000 0.500 0.500
0.033 0.204 0.500
0.204 0.967 0.500
0.296 0.467 0.500
0.467 0.704 0.500
0.500 0.000 0.500
0.533 0.296 0.500
0.704 0.533 0.500
0.796 0.033 0.500
0.967 0.796 0.500
0.000 0.000 0.000
0.500 0.500 0.000